1.
Here is an optimized crystal structure of Sr2CdW from Alexandria via LeMat-Bulk. Energies are from PBE.

Properties
Formation energy from the elements = 0.78 eV per atom

abc: 3.371 5.702 12.067
angles: 90.00 90.00 90.00
Space group Imm2 (No. 44)
Asymmetric unit:
Sr1 0.000 0.000 0.000 x2
Sr2 0.000 0.500 0.198 x2
Cd1 0.000 0.000 0.434 x2
W1 0.000 0.500 0.748 x2

2.
Here is an optimized crystal structure of Sr2CdW from Alexandria via LeMat-Bulk. Energies are from PBE.

Properties
Formation energy from the elements = 0.91 eV per atom

abc: 3.3626 3.3626 33.9510
angles: 90.00 90.00 120.00
Space group R-3m (No. 166, hexagonal axes)
Asymmetric unit:
Sr1 0.0000 0.0000 0.2427 x6
Cd1 0.0000 0.0000 0.0000 x3
W1 0.0000 0.0000 0.5000 x3

In the order shown, the computed N(E_F) values come out to 10.35 7.43 states/eV/cell.